(1)
## Rb5ZnSeO2 (PBE)

Data for an optimized crystal structure of Rb5ZnSeO2.

POSCAR file:
```
Rb5ZnSeO2
1.0
5.698 0.000 0.000
0.000 5.698 0.000
0.000 0.000 9.440
Rb Zn Se O
5 1 1 2
Cartesian
0.000 0.000 0.000 Rb
0.000 2.849 2.435 Rb
0.000 2.849 7.004 Rb
2.849 0.000 2.435 Rb
2.849 0.000 7.004 Rb
0.000 0.000 4.720 Zn
2.849 2.849 0.000 Se
0.000 0.000 2.910 O
0.000 0.000 6.530 O
```

**Total moment**: 0.58 μB/f.u.
**Formation energy from raw total energies**: -1.03 eV/atom
**SG**: No. 123
**Calculated density**: 3.27 Mg/m³
**Uncorrected energy**: -28.8 eV for the cell shown



(2)
## Rb2ZnSe2O6 (PBE)

Data for an optimized crystal structure of Rb2ZnSe2O6.

POSCAR file:
```
Rb2ZnSe2O6
1.0
4.694 -2.952 0.000
4.694 2.952 0.000
-2.619 0.000 6.795
Rb Zn Se O
2 1 2 6
Cartesian
1.522 0.000 0.999 Rb
5.247 0.000 5.796 Rb
-1.309 0.000 3.397 Zn
1.866 0.000 5.067 Se
4.904 0.000 1.728 Se
0.811 0.000 3.724 O
3.845 1.383 1.876 O
2.924 1.383 4.919 O
3.845 -1.383 1.876 O
2.924 -1.383 4.919 O
5.958 0.000 3.071 O
```

**Total moment**: 0.00 μB/f.u.
**Formation energy from raw total energies**: -1.17 eV/atom
**SG**: No. 12
**Calculated density**: 4.32 Mg/m³
**Uncorrected energy**: -52.8 eV for the cell shown



(3)
## RbZnSe2O8 (PBE)

Data for an optimized crystal structure of RbZnSe2O8.

POSCAR file:
```
RbZnSe2O8
1.0
5.202 0.000 0.000
-2.601 4.505 0.000
0.000 0.000 8.612
Rb Zn Se O
1 1 2 8
Cartesian
0.000 0.000 0.000 Rb
0.000 0.000 4.306 Zn
0.000 3.003 6.064 Se
2.601 1.502 2.548 Se
-0.634 1.524 5.579 O
-0.964 4.292 5.579 O
0.000 3.003 7.733 O
1.002 1.311 3.033 O
1.599 3.194 5.579 O
2.601 1.502 0.879 O
3.565 0.212 3.033 O
3.235 2.981 3.033 O
```

**Total moment**: 1.13 μB/f.u.
**Formation energy from raw total energies**: -0.87 eV/atom
**SG**: No. 147
**Calculated density**: 3.59 Mg/m³
**Uncorrected energy**: -59.3 eV for the cell shown



(4)
## RbZrSeO2 (PBE)

Data for an optimized crystal structure of RbZrSeO2.

POSCAR file:
```
RbZrSeO2
1.0
4.221 0.000 0.000
0.000 4.221 0.000
0.000 0.000 5.921
Rb Zr Se O
1 1 1 2
Cartesian
0.000 0.000 0.000 Rb
2.110 2.110 2.961 Zr
0.000 0.000 2.961 Se
0.000 2.110 0.000 O
2.110 0.000 0.000 O
```

**Total moment**: 0.23 μB/f.u.
**Formation energy from raw total energies**: 0.53 eV/atom
**SG**: No. 123
**Calculated density**: 4.53 Mg/m³
**Uncorrected energy**: -20.3 eV for the cell shown



(5)
## Rb4SiO4 (PBE)

Data for an optimized crystal structure of Rb4SiO4.

POSCAR file:
```
Rb4SiO4
1.0
6.827 0.000 0.000
3.373 6.128 0.000
2.689 0.004 9.021
Rb Si O
8 2 8
Cartesian
0.986 1.397 0.451 Rb
3.684 1.716 5.720 Rb
5.747 4.747 4.937 Rb
5.759 4.452 1.207 Rb
7.130 1.680 7.814 Rb
7.141 1.386 4.084 Rb
9.205 4.417 3.301 Rb
11.903 4.736 8.570 Rb
4.067 1.638 2.252 Si
8.822 4.494 6.769 Si
3.330 2.647 1.131 O
2.902 0.698 3.007 O
4.818 2.645 3.365 O
7.682 5.475 7.512 O
5.206 0.658 1.509 O
8.070 3.488 5.656 O
9.987 5.435 6.014 O
9.559 3.486 7.890 O
```

**Total moment**: 0.12 μB/f.u.
**Excess energy over the best structure of this formula in the dataset**: 0.0000 eV/atom
**Formation energy from raw total energies**: -1.94 eV/atom
**SG**: No. 2
**Calculated density**: 3.82 Mg/m³
**Uncorrected energy**: -93.2 eV for the cell shown



(6)
## Rb5Si2O6 (PBE)

Data for an optimized crystal structure of Rb5Si2O6.

POSCAR file:
```
Rb5Si2O6
1.0
5.530 -3.847 0.000
5.530 3.847 0.000
-3.497 0.000 14.210
Rb Si O
10 4 12
Cartesian
2.907 3.090 10.657 Rb
4.859 2.028 0.076 Rb
2.875 0.434 4.014 Rb
4.452 2.028 7.029 Rb
1.127 -0.434 11.119 Rb
6.435 0.434 3.091 Rb
3.110 -2.028 7.181 Rb
4.687 -0.434 10.196 Rb
2.703 -2.028 14.134 Rb
4.655 -3.090 3.552 Rb
1.065 1.127 8.069 Si
2.814 -1.127 0.964 Si
4.748 1.127 13.246 Si
6.497 -1.127 6.141 Si
-0.268 0.462 8.700 O
1.150 0.993 6.344 O
1.481 -0.462 1.595 O
2.469 0.767 8.791 O
-0.599 -0.993 13.449 O
3.344 0.767 12.524 O
4.218 -0.767 1.686 O
8.161 0.993 0.761 O
5.093 -0.767 5.419 O
6.081 0.462 12.615 O
6.412 -0.993 7.866 O
7.830 -0.462 5.510 O
```

**Total moment**: 0.33 μB/f.u.
**Formation energy from raw total energies**: -2.02 eV/atom
**SG**: No. 15
**Calculated density**: 3.18 Mg/m³
**Uncorrected energy**: -143.5 eV for the cell shown



(7)
## Rb2Si2O5 (PBE)

Data for an optimized crystal structure of Rb2Si2O5.

POSCAR file:
```
Rb2Si2O5
1.0
5.131 -4.297 0.000
5.131 4.297 0.000
-0.046 0.000 14.914
Rb Si O
8 8 20
Cartesian
4.335 3.270 8.999 Rb
5.857 3.270 13.373 Rb
3.555 0.924 1.101 Rb
3.532 -0.924 8.559 Rb
6.684 0.924 6.356 Rb
6.661 -0.924 13.813 Rb
4.358 -3.270 1.542 Rb
5.880 -3.270 5.915 Rb
3.930 2.554 4.748 Si
3.659 0.695 11.850 Si
6.309 2.554 2.709 Si
3.682 -0.695 4.393 Si
6.533 0.695 10.521 Si
3.907 -2.554 12.205 Si
6.556 -0.695 3.064 Si
6.286 -2.554 10.166 Si
4.279 2.882 6.264 O
2.567 1.017 10.636 O
5.119 3.127 3.729 O
3.377 1.358 13.261 O
5.960 2.882 1.193 O
3.732 0.955 4.406 O
5.096 1.213 11.186 O
2.590 -1.017 3.179 O
3.709 -0.955 11.863 O
3.400 -1.358 5.804 O
6.816 1.358 9.110 O
6.507 0.955 3.051 O
7.626 1.017 11.736 O
5.119 -1.213 3.729 O
6.484 -0.955 10.508 O
4.256 -2.882 13.721 O
6.839 -1.358 1.653 O
5.096 -3.127 11.186 O
7.649 -1.017 4.278 O
5.937 -2.882 8.650 O
```

**Total moment**: 0.08 μB/f.u.
**Formation energy from raw total energies**: -2.51 eV/atom
**SG**: No. 15
**Calculated density**: 3.10 Mg/m³
**Uncorrected energy**: -240.5 eV for the cell shown



(8)
## RbSi4O8 (PBE)

Data for an optimized crystal structure of RbSi4O8.

POSCAR file:
```
RbSi4O8
1.0
5.487 0.000 0.000
-2.744 4.752 0.000
0.000 0.000 8.111
Rb Si O
1 4 8
Cartesian
0.000 0.000 0.000 Rb
0.000 3.168 1.670 Si
0.000 3.168 6.441 Si
2.744 1.584 1.670 Si
2.744 1.584 6.441 Si
-1.336 2.314 5.963 O
-1.408 2.438 2.147 O
0.000 3.168 0.000 O
2.672 0.000 5.963 O
1.336 2.314 2.147 O
2.815 0.000 2.147 O
1.408 2.438 5.963 O
2.744 1.584 0.000 O
```

**Total moment**: 0.00 μB/f.u.
**Formation energy from raw total energies**: -2.41 eV/atom
**SG**: No. 162
**Calculated density**: 2.56 Mg/m³
**Uncorrected energy**: -93.7 eV for the cell shown



(9)
## Rb2SiO3 (PBE)

Data for an optimized crystal structure of Rb2SiO3.

POSCAR file:
```
Rb2SiO3
1.0
6.595 0.000 0.000
0.000 13.723 0.000
-5.117 0.000 15.765
Rb Si O
24 12 36
Cartesian
-0.380 1.369 1.321 Rb
-2.939 5.493 9.204 Rb
-3.768 8.639 13.624 Rb
-1.210 11.946 5.742 Rb
-0.667 2.518 4.748 Rb
-3.225 4.343 12.631 Rb
-0.855 1.145 8.327 Rb
1.703 5.717 0.445 Rb
-1.657 0.214 12.361 Rb
0.902 6.647 4.478 Rb
-2.060 2.305 15.581 Rb
0.498 4.557 7.699 Rb
0.980 9.167 8.066 Rb
3.539 11.418 0.184 Rb
0.577 7.076 11.287 Rb
3.135 13.509 3.404 Rb
-0.224 8.006 15.320 Rb
2.334 12.578 7.438 Rb
4.704 9.380 3.134 Rb
2.145 11.205 11.017 Rb
2.689 1.778 10.023 Rb
5.247 5.084 2.141 Rb
4.418 8.230 6.561 Rb
1.859 12.354 14.444 Rb
-2.220 8.778 10.060 Si
0.338 11.807 2.178 Si
1.217 8.851 1.712 Si
-1.341 11.734 9.594 Si
1.494 10.118 4.522 Si
-1.064 10.466 12.404 Si
2.543 3.257 3.361 Si
-0.015 3.605 11.243 Si
2.820 1.990 6.171 Si
0.262 4.872 14.053 Si
1.141 1.916 13.587 Si
3.699 4.945 5.705 Si
-3.905 1.464 13.446 O
-1.347 5.398 5.564 O
0.120 7.655 1.811 O
-2.438 12.930 9.694 O
0.371 10.291 1.411 O
-2.187 10.294 9.294 O
-1.250 7.761 9.252 O
1.308 12.824 1.370 O
0.234 9.474 5.326 O
-2.324 11.111 13.208 O
-1.347 3.279 10.377 O
1.212 3.582 2.494 O
-1.592 9.054 11.617 O
0.967 11.531 3.734 O
2.407 8.647 0.631 O
-0.152 11.938 8.514 O
1.926 9.102 3.234 O
-0.633 11.482 11.116 O
2.111 2.241 4.649 O
-0.447 4.621 12.531 O
1.630 1.785 7.251 O
-0.928 5.076 15.134 O
0.512 2.193 12.031 O
3.070 4.669 4.148 O
0.267 10.141 13.271 O
2.825 10.444 5.388 O
3.803 2.613 2.557 O
1.245 4.249 10.439 O
0.171 0.900 14.395 O
2.729 5.962 6.513 O
3.666 3.429 6.471 O
1.108 3.432 14.354 O
3.917 0.793 6.071 O
1.359 6.068 13.954 O
2.825 8.325 10.201 O
5.384 12.260 2.319 O
```

**Total moment**: 0.00 μB/f.u.
**Formation energy from raw total energies**: -2.29 eV/atom
**SG**: No. 14
**Calculated density**: 3.45 Mg/m³
**Uncorrected energy**: -431.6 eV for the cell shown



(10)
## RbSiO3 (PBE)

Data for an optimized crystal structure of RbSiO3.

POSCAR file:
```
RbSiO3
1.0
3.732 0.000 0.000
0.000 3.732 0.000
0.000 0.000 3.732
Rb Si O
1 1 3
Cartesian
0.000 0.000 0.000 Rb
1.866 1.866 1.866 Si
0.000 1.866 1.866 O
1.866 0.000 1.866 O
1.866 1.866 0.000 O
```

**Total moment**: 1.00 μB/f.u.
**Formation energy from raw total energies**: -1.48 eV/atom
**SG**: No. 221
**Calculated density**: 5.16 Mg/m³
**Uncorrected energy**: -28.7 eV for the cell shown



(11)
## Rb6Si2O7 (PBE)

Data for an optimized crystal structure of Rb6Si2O7.

POSCAR file:
```
Rb6Si2O7
1.0
6.853 0.000 0.000
0.000 9.312 0.000
-6.667 0.000 9.381
Rb Si O
12 4 14
Cartesian
-2.566 1.369 3.833 Rb
-5.900 3.287 8.524 Rb
-1.616 4.910 4.281 Rb
-4.949 9.058 8.971 Rb
0.854 2.058 2.582 Rb
-2.480 2.598 7.272 Rb
2.666 6.714 2.109 Rb
-0.668 7.254 6.799 Rb
5.135 0.254 0.410 Rb
1.802 4.402 5.101 Rb
6.086 6.025 0.857 Rb
2.752 7.943 5.548 Rb
-3.576 5.885 8.240 Si
-0.242 8.083 3.549 Si
0.428 1.229 5.832 Si
3.762 3.427 1.141 Si
-5.213 6.112 8.216 O
-1.879 7.856 3.526 O
-2.995 5.392 6.778 O
0.339 8.577 2.087 O
2.970 2.078 0.606 O
-0.363 2.578 5.297 O
0.093 0.000 4.691 O
3.427 4.656 0.000 O
0.549 6.734 4.084 O
-2.784 7.234 8.775 O
-0.153 0.735 7.294 O
3.181 3.921 2.603 O
2.065 1.456 5.855 O
5.399 3.200 1.165 O
```

**Total moment**: 0.00 μB/f.u.
**Formation energy from raw total energies**: -2.11 eV/atom
**SG**: No. 14
**Calculated density**: 3.78 Mg/m³
**Uncorrected energy**: -165.9 eV for the cell shown



(12)
## Rb3SiO4 (PBE)

Data for an optimized crystal structure of Rb3SiO4.

POSCAR file:
```
Rb3SiO4
1.0
8.120 0.000 0.000
0.000 8.699 0.000
0.000 0.000 9.291
Rb Si O
12 4 16
Cartesian
0.208 0.119 2.044 Rb
0.208 4.230 2.044 Rb
1.416 6.524 4.701 Rb
2.644 2.175 0.055 Rb
3.852 4.469 6.690 Rb
3.852 8.580 6.690 Rb
4.268 0.119 2.602 Rb
4.268 4.230 2.602 Rb
5.475 6.524 9.236 Rb
6.704 2.175 4.591 Rb
7.912 4.469 7.247 Rb
7.912 8.580 7.247 Rb
1.829 6.524 9.131 Si
2.231 2.175 4.485 Si
5.888 6.524 4.806 Si
6.291 2.175 0.160 Si
0.229 6.524 0.262 O
1.489 0.821 5.075 O
1.489 3.528 5.075 O
1.939 6.524 7.479 O
2.121 2.175 2.833 O
2.570 5.171 0.430 O
2.570 7.878 0.430 O
3.831 2.175 4.908 O
4.289 6.524 4.383 O
5.549 0.821 8.862 O
5.549 3.528 8.862 O
5.999 6.524 6.458 O
6.181 2.175 1.812 O
6.630 5.171 4.216 O
6.630 7.878 4.216 O
7.890 2.175 9.029 O
```

**Total moment**: 1.02 μB/f.u.
**Excess energy over the best structure of this formula in the dataset**: 0.0000 eV/atom
**Formation energy from raw total energies**: -1.93 eV/atom
**SG**: No. 62
**Calculated density**: 3.53 Mg/m³
**Uncorrected energy**: -174.3 eV for the cell shown